Entry 1:
A relaxed LiPaGa crystal. Source: Alexandria via LeMat-Bulk, functional PBE-GGA.

a = 6.754 Å, b = 6.754 Å, c = 6.754 Å
α = 154.28°, β = 154.28°, γ = 36.69°
Positions (direct):
Li 0.000 0.000 0.000
Pa 0.699 0.699 0.000
Ga 0.375 0.375 0.000

- magnetic moment (μB/cell) = 0.489
- VASP energy (eV per atom) = -4.839

Entry 2:
A relaxed Li2PaGa9 crystal. Source: Alexandria via LeMat-Bulk, functional PBE-GGA.

a = 4.226 Å, b = 4.226 Å, c = 12.078 Å
α = 90.00°, β = 90.00°, γ = 90.00°
Positions (direct):
Li 0.000 0.000 0.165
Li 0.000 0.000 0.835
Pa 0.000 0.000 0.500
Ga 0.000 0.500 0.000
Ga 0.000 0.500 0.319
Ga 0.000 0.500 0.681
Ga 0.500 0.000 0.000
Ga 0.500 0.000 0.319
Ga 0.500 0.000 0.681
Ga 0.500 0.500 0.158
Ga 0.500 0.500 0.500
Ga 0.500 0.500 0.842

- magnetic moment (μB/cell) = 0.000
- VASP energy (eV per atom) = -3.602

Entry 3:
A relaxed LiPaGaPd crystal. Source: Alexandria via LeMat-Bulk, functional PBE-GGA.

a = 4.775 Å, b = 4.775 Å, c = 4.775 Å
α = 60.00°, β = 60.00°, γ = 60.00°
Positions (direct):
Li 0.000 0.000 0.000
Pa 0.500 0.500 0.500
Ga 0.250 0.250 0.250
Pd 0.750 0.750 0.750

- magnetic moment (μB/cell) = 0.000
- VASP energy (eV per atom) = -5.194

Entry 4:
A relaxed LiPa2Ga3Pt4 crystal. Source: Alexandria via LeMat-Bulk, functional PBE-GGA.

a = 3.992 Å, b = 3.992 Å, c = 11.564 Å
α = 90.00°, β = 90.00°, γ = 90.00°
Positions (direct):
Li 0.000 0.000 0.000
Pa 0.000 0.500 0.749
Pa 0.500 0.000 0.251
Ga 0.000 0.500 0.368
Ga 0.500 0.000 0.632
Ga 0.500 0.500 0.000
Pt 0.000 0.000 0.500
Pt 0.000 0.500 0.154
Pt 0.500 0.000 0.846
Pt 0.500 0.500 0.500

- magnetic moment (μB/cell) = 0.000
- VASP energy (eV per atom) = -6.162

Entry 5:
A relaxed LiPaGa2Pt2 crystal. Source: Alexandria via LeMat-Bulk, functional PBE-GGA.

a = 4.355 Å, b = 4.355 Å, c = 6.484 Å
α = 90.00°, β = 90.00°, γ = 120.00°
Positions (direct):
Li 0.000 0.000 0.000
Pa 0.000 0.000 0.500
Ga 0.333 0.667 0.828
Ga 0.667 0.333 0.172
Pt 0.333 0.667 0.248
Pt 0.667 0.333 0.752

- magnetic moment (μB/cell) = 0.000
- VASP energy (eV per atom) = -5.719

Entry 6:
A relaxed LiPaGa4Pt2 crystal. Source: Alexandria via LeMat-Bulk, functional PBE-GGA.

a = 4.101 Å, b = 4.101 Å, c = 8.539 Å
α = 90.00°, β = 90.00°, γ = 90.00°
Positions (direct):
Li 0.000 0.000 0.000
Pa 0.000 0.000 0.500
Ga 0.000 0.500 0.165
Ga 0.000 0.500 0.835
Ga 0.500 0.000 0.165
Ga 0.500 0.000 0.835
Pt 0.500 0.500 0.348
Pt 0.500 0.500 0.652

- magnetic moment (μB/cell) = 0.000
- VASP energy (eV per atom) = -4.925

Entry 7:
A relaxed LiPaGaPt crystal. Source: Alexandria via LeMat-Bulk, functional PBE-GGA.

a = 4.698 Å, b = 4.698 Å, c = 4.698 Å
α = 60.00°, β = 60.00°, γ = 60.00°
Positions (direct):
Li 0.000 0.000 0.000
Pa 0.250 0.250 0.250
Ga 0.750 0.750 0.750
Pt 0.500 0.500 0.500

- magnetic moment (μB/cell) = 0.584
- VASP energy (eV per atom) = -5.647

Entry 8:
A relaxed LiPaGaRu crystal. Source: Alexandria via LeMat-Bulk, functional PBE-GGA.

a = 4.611 Å, b = 4.611 Å, c = 4.611 Å
α = 60.00°, β = 60.00°, γ = 60.00°
Positions (direct):
Li 0.000 0.000 0.000
Pa 0.750 0.750 0.750
Ga 0.250 0.250 0.250
Ru 0.500 0.500 0.500

- magnetic moment (μB/cell) = 0.000
- VASP energy (eV per atom) = -6.197

Entry 9:
A relaxed LiScPaGa crystal. Source: Alexandria via LeMat-Bulk, functional PBE-GGA.

a = 4.887 Å, b = 4.887 Å, c = 4.887 Å
α = 60.00°, β = 60.00°, γ = 60.00°
Positions (direct):
Li 0.000 0.000 0.000
Sc 0.750 0.750 0.750
Pa 0.250 0.250 0.250
Ga 0.500 0.500 0.500

- magnetic moment (μB/cell) = 0.000
- VASP energy (eV per atom) = -5.195

Entry 10:
A relaxed LiPaGaSn crystal. Source: Alexandria via LeMat-Bulk, functional PBE-GGA.

a = 5.007 Å, b = 5.007 Å, c = 5.007 Å
α = 60.00°, β = 60.00°, γ = 60.00°
Positions (direct):
Li 0.000 0.000 0.000
Pa 0.500 0.500 0.500
Ga 0.750 0.750 0.750
Sn 0.250 0.250 0.250

- magnetic moment (μB/cell) = 0.380
- VASP energy (eV per atom) = -4.763

Entry 11:
A relaxed LiPaGaTc crystal. Source: Alexandria via LeMat-Bulk, functional PBE-GGA.

a = 4.618 Å, b = 4.618 Å, c = 4.618 Å
α = 60.00°, β = 60.00°, γ = 60.00°
Positions (direct):
Li 0.000 0.000 0.000
Pa 0.250 0.250 0.250
Ga 0.750 0.750 0.750
Tc 0.500 0.500 0.500

- magnetic moment (μB/cell) = 0.000
- VASP energy (eV per atom) = -6.314

Entry 12:
A relaxed LiPaTlGa crystal. Source: Alexandria via LeMat-Bulk, functional PBE-GGA.

a = 5.023 Å, b = 5.023 Å, c = 5.023 Å
α = 60.00°, β = 60.00°, γ = 60.00°
Positions (direct):
Li 0.000 0.000 0.000
Pa 0.500 0.500 0.500
Tl 0.750 0.750 0.750
Ga 0.250 0.250 0.250

- magnetic moment (μB/cell) = 0.000
- VASP energy (eV per atom) = -4.196